DFT (PBE-GGA) results for a relaxed structure of TmGaF5.

Lattice parameters (Å, degrees): 9.0661 7.0837 7.4573 90.00 113.00 90.00
Space group C2/c (No. 15)
Symmetry-distinct sites (fractional):
Tm  0.0000  0.0502  0.2500
Ga  0.0000  0.5000  0.0000
F  0.0000  0.3729  0.2500
F  0.0100  0.1717  0.9618
F  0.2463  0.4632  0.6321

- Spin magnetization: 0.00 μB/atom
- Raw formation energy: -3.18 eV/atom

---

DFT (PBE-GGA) results for a relaxed structure of Ba2SbIr.

Lattice parameters (Å, degrees): 7.1269 9.0698 3.9097 90.00 90.00 90.00
Space group Cmmm (No. 65)
Symmetry-distinct sites (fractional):
Ba  0.2500  0.2500  0.0000
Sb  0.0000  0.0000  0.5000
Ir  0.0000  0.5000  0.5000

- Spin magnetization: 0.01 μB/atom
- Raw formation energy: -0.14 eV/atom

---

DFT (PBE-GGA) results for a relaxed structure of GaSI2O.

Lattice parameters (Å, degrees): 5.8414 5.8414 3.5217 90.00 90.00 90.00
Space group P4/mmm (No. 123)
Symmetry-distinct sites (fractional):
Ga  0.0000  0.0000  0.0000
S  0.5000  0.5000  0.5000
I  0.0000  0.5000  0.0000
O  0.0000  0.0000  0.5000

- Spin magnetization: 0.00 μB/atom
- Raw formation energy: 0.05 eV/atom

---

DFT (PBE-GGA) results for a relaxed structure of Li4CaI6.

Lattice parameters (Å, degrees): 15.1865 8.2903 15.1624 90.00 109.92 90.00
Space group Cc (No. 9)
Symmetry-distinct sites (fractional):
Li  0.0000  0.0083  0.0000
Li  0.1875  0.1588  0.1459
Li  0.2375  0.4805  0.9141
Li  0.4288  0.1430  0.7229
Ca  0.0068  0.0476  0.7529
I  0.1139  0.2354  0.9443
I  0.1222  0.2905  0.2839
I  0.1286  0.1568  0.6393
I  0.3716  0.3578  0.5690
I  0.3744  0.1634  0.1873
I  0.3810  0.3537  0.8481

- Spin magnetization: 0.00 μB/atom
- Raw formation energy: -1.27 eV/atom

---

DFT (PBE-GGA) results for a relaxed structure of Hf2In2Ag.

Lattice parameters (Å, degrees): 8.6045 8.6045 3.1630 90.00 90.00 90.00
Space group P4/mbm (No. 127)
Symmetry-distinct sites (fractional):
Hf  0.1234  0.3766  0.0000
In  0.1763  0.6763  0.5000
Ag  0.0000  0.0000  0.0000

- Spin magnetization: 0.00 μB/atom
- Formation enthalpy at 0 K: 0.220 eV per atom

---

DFT (PBE-GGA) results for a relaxed structure of Ho6AlNi2.

Lattice parameters (Å, degrees): 9.2135 9.5254 10.0026 90.00 90.00 90.00
Space group Immm (No. 71)
Symmetry-distinct sites (fractional):
Ho  0.0000  0.1963  0.2366
Ho  0.1930  0.5000  0.1749
Ho  0.2143  0.3182  0.5000
Al  0.0000  0.0000  0.0000
Al  0.0000  0.0000  0.5000
Ni  0.0000  0.3434  0.0000
Ni  0.0000  0.5000  0.3790

- Spin magnetization: 0.00 μB/atom
- Formation enthalpy at 0 K: -0.333 eV per atom

---

DFT (PBE-GGA) results for a relaxed structure of TaWSe2.

Lattice parameters (Å, degrees): 6.3772 6.3772 6.3772 90.00 90.00 90.00
Space group Fm-3m (No. 225)
Symmetry-distinct sites (fractional):
Ta  0.0000  0.0000  0.0000
W  0.0000  0.0000  0.5000
Se  0.2500  0.2500  0.2500

- Spin magnetization: 0.00 μB/atom
- Raw formation energy: 0.21 eV/atom

---

DFT (PBE-GGA) results for a relaxed structure of TcHSe2.

Lattice parameters (Å, degrees): 3.3254 6.5882 6.9480 92.62 102.90 90.00
Space group P1 (No. 1)
Symmetry-distinct sites (fractional):
Tc  0.0000  0.0000  0.0000
Tc  0.4853  0.3529  0.9690
H  0.6654  0.7487  0.3565
H  0.9275  0.7552  0.8448
Se  0.1134  0.2830  0.2440
Se  0.3771  0.0610  0.7363
Se  0.5625  0.7473  0.1343
Se  0.8766  0.5047  0.7365

- Spin magnetization: 0.00 μB/atom

---

Raw total energy values (in eV per cell) by entry order: -156.4 -34.8 -14.9 -131.7 -54.3 -183.1 -123.8 -42.6.